## P
{
  "formula": "Dy2Er3Sc",
  "functional": "PBE",
  "state": "relaxed",
  "sg": "No. 15",
  "magmom_total_mub_per_cell": 0.002,
  "dos_ef_per_ev_cell": 17.39,
  "rho_g_cm3": 8.11,
  "lattice_angstrom": [[6.020, 0.084, -0.221], [-0.183, 6.472, -2.549], [0.345, -0.112, 9.188]],
  "species": ["Er", "Er", "Er", "Er", "Er", "Er", "Dy", "Dy", "Dy", "Dy", "Sc", "Sc"],
  "frac_coords": [[0.080, 0.287, 0.327], [0.250, 0.372, 0.000], [0.420, 0.960, 0.673], [0.920, 0.713, 0.673], [0.750, 0.628, 0.000], [0.580, 0.040, 0.327], [0.085, 0.791, 0.330], [0.915, 0.209, 0.670], [0.585, 0.539, 0.330], [0.415, 0.461, 0.670], [0.250, 0.877, 0.000], [0.750, 0.123, 0.000]]
}


## Q
{
  "formula": "Dy2Er3Sc",
  "functional": "PBE",
  "state": "relaxed",
  "sg": "No. 12",
  "magmom_total_mub_per_cell": 0.002,
  "dos_ef_per_ev_cell": 20.61,
  "rho_g_cm3": 7.93,
  "lattice_angstrom": [[3.416, 0.000, 0.000], [1.708, 8.679, 0.160], [1.708, 2.047, 12.355]],
  "species": ["Er", "Er", "Er", "Er", "Er", "Er", "Dy", "Dy", "Dy", "Dy", "Sc", "Sc"],
  "frac_coords": [[0.038, 0.140, 0.784], [0.259, 0.189, 0.293], [0.401, 0.172, 0.026], [0.741, 0.811, 0.707], [0.962, 0.860, 0.216], [0.599, 0.828, 0.974], [0.344, 0.842, 0.469], [0.656, 0.158, 0.531], [0.179, 0.521, 0.121], [0.821, 0.479, 0.879], [0.563, 0.516, 0.359], [0.437, 0.484, 0.641]]
}


List of relative energies, unit meV/atom: P 0; Q 108


## P
{
  "formula": "Dy2Er5Sc",
  "functional": "PBE",
  "state": "relaxed",
  "sg": "No. 42",
  "magmom_total_mub_per_cell": 0.034,
  "dos_ef_per_ev_cell": 13.83,
  "rho_g_cm3": 8.25,
  "lattice_angstrom": [[-1.562, -6.889, -0.872], [6.094, 2.622, -2.576], [0.261, 0.955, 6.503]],
  "species": ["Er", "Er", "Er", "Er", "Er", "Sc", "Dy", "Dy"],
  "frac_coords": [[0.322, 0.739, 0.000], [0.320, 0.235, 0.000], [0.817, 0.234, 0.000], [0.237, 0.319, 0.500], [0.737, 0.819, 0.500], [0.820, 0.736, 0.000], [0.739, 0.324, 0.508], [0.231, 0.817, 0.492]]
}


## Q
{
  "formula": "Dy2Er5Sc",
  "functional": "PBE",
  "state": "relaxed",
  "sg": "No. 55",
  "magmom_total_mub_per_cell": 0.007,
  "dos_ef_per_ev_cell": 20.39,
  "rho_g_cm3": 8.38,
  "lattice_angstrom": [[-3.270, 3.536, -0.991], [-4.064, -2.311, 5.172], [6.510, 8.521, 8.923]],
  "species": ["Er", "Er", "Er", "Er", "Er", "Er", "Er", "Er", "Er", "Er", "Dy", "Dy", "Dy", "Dy", "Sc", "Sc"],
  "frac_coords": [[0.500, 0.750, 0.624], [0.500, 0.250, 0.876], [0.000, 0.001, 0.252], [0.000, 0.501, 0.248], [0.500, 0.750, 0.124], [0.500, 0.250, 0.376], [0.000, 0.500, 0.500], [0.000, 0.000, 0.000], [0.000, 0.499, 0.752], [0.000, 0.999, 0.748], [0.500, 0.748, 0.876], [0.500, 0.248, 0.624], [0.500, 0.752, 0.376], [0.500, 0.252, 0.124], [0.000, 0.000, 0.500], [0.000, 0.500, 0.000]]
}


List of relative energies, unit meV/atom: P 0; Q 19


## P
{
  "formula": "Dy7Er12Sc",
  "functional": "PBE",
  "state": "relaxed",
  "sg": "No. 148",
  "magmom_total_mub_per_cell": 0.000,
  "dos_ef_per_ev_cell": 26.64,
  "rho_g_cm3": 8.21,
  "lattice_angstrom": [[-2.159, -6.177, -0.694], [9.960, -0.662, -4.293], [7.330, -5.549, 5.791]],
  "species": ["Er", "Er", "Er", "Er", "Er", "Er", "Er", "Er", "Er", "Er", "Er", "Er", "Dy", "Dy", "Dy", "Dy", "Dy", "Dy", "Dy", "Sc"],
  "frac_coords": [[0.915, 0.424, 0.788], [0.254, 0.455, 0.480], [0.085, 0.576, 0.212], [0.297, 0.212, 0.212], [0.491, 0.788, 0.424], [0.734, 0.480, 0.065], [0.799, 0.065, 0.455], [0.746, 0.545, 0.520], [0.509, 0.212, 0.576], [0.703, 0.788, 0.788], [0.201, 0.935, 0.545], [0.266, 0.520, 0.935], [0.358, 0.299, 0.835], [0.500, 0.000, 0.000], [0.193, 0.835, 0.866], [0.642, 0.701, 0.165], [0.059, 0.866, 0.299], [0.941, 0.134, 0.701], [0.807, 0.165, 0.134], [0.000, 0.000, 0.000]]
}


## Q
{
  "formula": "Dy7Er12Sc",
  "functional": "PBE",
  "state": "relaxed",
  "sg": "No. 148",
  "magmom_total_mub_per_cell": 0.000,
  "dos_ef_per_ev_cell": 19.26,
  "rho_g_cm3": 8.50,
  "lattice_angstrom": [[-0.133, -8.496, -1.145], [7.683, 1.105, -3.641], [3.039, -0.392, 8.007]],
  "species": ["Er", "Er", "Er", "Er", "Er", "Er", "Er", "Er", "Er", "Er", "Er", "Er", "Dy", "Dy", "Dy", "Dy", "Dy", "Dy", "Dy", "Sc"],
  "frac_coords": [[0.856, 0.591, 0.526], [0.591, 0.526, 0.856], [0.751, 0.323, 0.192], [0.526, 0.856, 0.591], [0.409, 0.474, 0.144], [0.144, 0.409, 0.474], [0.474, 0.144, 0.409], [0.249, 0.677, 0.808], [0.808, 0.249, 0.677], [0.677, 0.808, 0.249], [0.323, 0.192, 0.751], [0.192, 0.751, 0.323], [0.656, 0.990, 0.924], [0.500, 0.500, 0.500], [0.990, 0.924, 0.656], [0.076, 0.344, 0.010], [0.010, 0.076, 0.344], [0.924, 0.656, 0.990], [0.344, 0.010, 0.076], [0.000, 0.000, 0.000]]
}


List of relative energies, unit meV/atom: P 32; Q 0